[1]
The following is a GGA-PBEsol calculation of a geometry-optimized LiCaMo2 structure, from Alexandria via LeMat-Bulk.

Cell: 2.775 4.178 6.601 Å, 90.00 102.09 90.00°
Element x y z (fractional)
Li (0.000, 0.000, 0.000)
Ca (0.316, 0.500, 0.696)
Mo (0.515, 0.000, 0.398)
Mo (0.706, 0.500, 0.226)

Summary:
* energy of formation from the pure elements: 2.0 eV/f.u.
* space group: Pm
* crystal system: monoclinic
* polymorph energy (0 for the lowest one): 0 meV/atom

[2]
The following is a GGA-PBEsol calculation of a geometry-optimized LiCaMo2 structure, from Alexandria via LeMat-Bulk.

Cell: 2.666 4.145 6.677 Å, 90.00 90.00 90.00°
Element x y z (fractional)
Li (0.000, 0.000, 0.000)
Ca (0.500, 0.500, 0.711)
Mo (0.000, 0.000, 0.409)
Mo (0.500, 0.500, 0.225)

Summary:
* energy of formation from the pure elements: 2.5 eV/f.u.
* space group: Pmm2
* crystal system: orthorhombic
* polymorph energy (0 for the lowest one): 119 meV/atom

[3]
The following is a GGA-PBEsol calculation of a geometry-optimized LiCaMo2 structure, from Alexandria via LeMat-Bulk.

Cell: 2.758 5.194 4.934 Å, 90.00 97.58 90.00°
Element x y z (fractional)
Li (0.000, 0.000, 0.000)
Ca (0.500, 0.000, 0.500)
Mo (0.133, 0.500, 0.752)
Mo (0.867, 0.500, 0.248)

Summary:
* energy of formation from the pure elements: 2.6 eV/f.u.
* space group: P2/m
* crystal system: monoclinic
* polymorph energy (0 for the lowest one): 143 meV/atom

[4]
The following is a GGA-PBEsol calculation of a geometry-optimized Li2CaMo structure, from Alexandria via LeMat-Bulk.

Cell: 2.721 4.696 5.973 Å, 90.00 90.00 90.00°
Element x y z (fractional)
Li (0.000, 0.000, 0.200)
Li (0.000, 0.000, 0.800)
Ca (0.500, 0.500, 0.500)
Mo (0.500, 0.500, 0.000)

Summary:
* energy of formation from the pure elements: 2.8 eV/f.u.
* space group: Pmmm
* crystal system: orthorhombic
* polymorph energy (0 for the lowest one): 57 meV/atom

[5]
The following is a GGA-PBEsol calculation of a geometry-optimized Li2CaMo structure, from Alexandria via LeMat-Bulk.

Cell: 2.668 4.709 5.951 Å, 90.00 90.00 90.00°
Element x y z (fractional)
Li (0.000, 0.000, 0.000)
Li (0.500, 0.500, 0.252)
Ca (0.500, 0.500, 0.717)
Mo (0.000, 0.000, 0.460)

Summary:
* energy of formation from the pure elements: 2.6 eV/f.u.
* space group: Pmm2
* crystal system: orthorhombic
* polymorph energy (0 for the lowest one): 25 meV/atom

[6]
The following is a GGA-PBEsol calculation of a geometry-optimized LiCaMo2 structure, from Alexandria via LeMat-Bulk.

Cell: 4.713 4.713 6.075 Å, 91.16 91.16 32.57°
Element x y z (fractional)
Li (0.000, 0.000, 0.000)
Ca (0.249, 0.249, 0.715)
Mo (0.496, 0.496, 0.415)
Mo (0.740, 0.740, 0.238)

Summary:
* energy of formation from the pure elements: 2.4 eV/f.u.
* space group: Cm
* crystal system: monoclinic
* polymorph energy (0 for the lowest one): 92 meV/atom

[7]
The following is a GGA-PBEsol calculation of a geometry-optimized Li6Ca12Mo4N16O3 structure, from Alexandria via LeMat-Bulk.

Cell: 11.201 11.201 11.201 Å, 109.47 109.47 109.47°
Element x y z (fractional)
Li (0.024, 0.250, 0.274)
Li (0.226, 0.476, 0.750)
Li (0.250, 0.274, 0.024)
Li (0.250, 0.976, 0.726)
Li (0.274, 0.024, 0.250)
Li (0.476, 0.750, 0.226)
Li (0.524, 0.774, 0.750)
Li (0.726, 0.250, 0.976)
Li (0.750, 0.226, 0.476)
Li (0.750, 0.524, 0.774)
Li (0.774, 0.750, 0.524)
Li (0.976, 0.726, 0.250)
Ca (0.039, 0.097, 0.709)
Ca (0.058, 0.461, 0.170)
Ca (0.097, 0.709, 0.039)
Ca (0.112, 0.942, 0.903)
Ca (0.170, 0.058, 0.461)
Ca (0.209, 0.597, 0.539)
Ca (0.291, 0.830, 0.388)
Ca (0.330, 0.791, 0.888)
Ca (0.388, 0.291, 0.830)
Ca (0.403, 0.442, 0.612)
Ca (0.442, 0.612, 0.403)
Ca (0.461, 0.170, 0.058)
Ca (0.539, 0.209, 0.597)
Ca (0.558, 0.670, 0.961)
Ca (0.597, 0.539, 0.209)
Ca (0.612, 0.403, 0.442)
Ca (0.670, 0.961, 0.558)
Ca (0.709, 0.039, 0.097)
Ca (0.791, 0.888, 0.330)
Ca (0.830, 0.388, 0.291)
Ca (0.888, 0.330, 0.791)
Ca (0.903, 0.112, 0.942)
Ca (0.942, 0.903, 0.112)
Ca (0.961, 0.558, 0.670)
Mo (0.000, 0.225, 0.500)
Mo (0.000, 0.725, 0.500)
Mo (0.225, 0.500, 0.000)
Mo (0.275, 0.275, 0.275)
Mo (0.500, 0.000, 0.225)
Mo (0.500, 0.000, 0.725)
Mo (0.725, 0.500, 0.000)
Mo (0.775, 0.775, 0.775)
N (0.000, 0.390, 0.500)
N (0.000, 0.890, 0.500)
N (0.051, 0.634, 0.368)
N (0.083, 0.317, 0.949)
N (0.110, 0.110, 0.110)
N (0.132, 0.766, 0.683)
N (0.134, 0.551, 0.868)
N (0.183, 0.266, 0.632)
N (0.234, 0.417, 0.366)
N (0.266, 0.632, 0.183)
N (0.317, 0.949, 0.083)
N (0.366, 0.234, 0.417)
N (0.368, 0.051, 0.634)
N (0.390, 0.500, 0.000)
N (0.417, 0.366, 0.234)
N (0.449, 0.817, 0.583)
N (0.500, 0.000, 0.390)
N (0.500, 0.000, 0.890)
N (0.551, 0.868, 0.134)
N (0.583, 0.449, 0.817)
N (0.610, 0.610, 0.610)
N (0.632, 0.183, 0.266)
N (0.634, 0.368, 0.051)
N (0.683, 0.132, 0.766)
N (0.734, 0.866, 0.917)
N (0.766, 0.683, 0.132)
N (0.817, 0.583, 0.449)
N (0.866, 0.917, 0.734)
N (0.868, 0.134, 0.551)
N (0.890, 0.500, 0.000)
N (0.917, 0.734, 0.866)
N (0.949, 0.083, 0.317)
O (0.125, 0.875, 0.250)
O (0.250, 0.125, 0.875)
O (0.375, 0.625, 0.750)
O (0.625, 0.750, 0.375)
O (0.750, 0.375, 0.625)
O (0.875, 0.250, 0.125)

Summary:
* space group: I-43d
* crystal system: cubic
* formation energy without anion corrections: -1366 meV per atom

[8]
The following is a GGA-PBEsol calculation of a geometry-optimized LiCa2N structure, from Alexandria via LeMat-Bulk.

Cell: 6.688 6.688 6.688 Å, 115.93 115.93 97.21°
Element x y z (fractional)
Li (0.000, 0.000, 0.000)
Li (0.750, 0.250, 0.500)
Ca (0.261, 0.625, 0.136)
Ca (0.375, 0.511, 0.636)
Ca (0.489, 0.125, 0.864)
Ca (0.875, 0.739, 0.364)
N (0.250, 0.750, 0.500)
N (0.500, 0.500, 0.000)

Summary:
* space group: I-42d
* crystal system: tetragonal
* formation energy without anion corrections: -328 meV per atom

Density of states at the Fermi level, respectively: 0.46; 0.65; 0.65; 0.92; 0.85; 0.59; 0.00; 0.30 states/eV/atom.